1.
Density functional theory data (PBE-GGA) for a geometry-optimized NaPbBr2 structure.

The formation energy without anion corrections is -0.744 eV per atom. The spin magnetization comes out at 0.0 Bohr magnetons per cell. The calculation puts the electronic total energy at -11.35 eV per cell.

Cell lengths 5.463, 5.463, 5.463 Å; angles 60.00, 60.00, 60.00 degrees
Positions (direct):
Br 0.250 0.250 0.250
Br 0.750 0.750 0.750
Na 0.000 0.000 0.000
Pb 0.500 0.500 0.500

***

2.
Density functional theory data (PBE-GGA) for a geometry-optimized Li2HfOsI structure.

The formation energy without anion corrections is 0.483 eV per atom. The spin magnetization comes out at 0.0 Bohr magnetons per cell. The calculation puts the electronic total energy at -24.15 eV per cell.

Cell lengths 4.946, 4.884, 4.946 Å; angles 90.00, 90.00, 90.00 degrees
Positions (direct):
Os 0.000 0.000 0.000
I 0.500 0.500 0.500
Li 0.000 0.000 0.500
Hf 0.000 0.500 0.000
Li 0.500 0.000 0.000

***

3.
Density functional theory data (PBE-GGA) for a geometry-optimized NbH3S structure.

The spin magnetization comes out at 0.0 Bohr magnetons per cell. The calculation puts the electronic total energy at -22.25 eV per cell.

Cell lengths 3.648, 3.648, 3.648 Å; angles 90.00, 90.00, 90.00 degrees
Positions (direct):
S 0.500 0.500 0.500
H 0.000 0.000 0.500
H 0.000 0.500 0.000
Nb 0.000 0.000 0.000
H 0.500 0.000 0.000

***

4.
Density functional theory data (PBE-GGA) for a geometry-optimized ScSnI structure.

The formation energy without anion corrections is -0.502 eV per atom. The spin magnetization comes out at 0.0 Bohr magnetons per cell. The calculation puts the electronic total energy at -53.57 eV per cell.

Cell lengths 7.655, 8.036, 7.655 Å; angles 70.84, 71.88, 109.16 degrees
Positions (direct):
Sc 0.351 0.560 0.716
Sn 0.616 0.708 0.925
Sc 0.724 0.440 0.209
I 0.890 0.258 0.967
Sn 0.367 0.292 0.092
Sn 0.158 0.792 0.883
I 0.775 0.742 0.368
I 0.283 0.758 0.360
Sc 0.041 0.940 0.526
I 0.882 0.242 0.475
Sn 0.325 0.208 0.634
Sc 0.534 0.060 0.899

***

- Number 3 is which compound?
  NbH3S